(1)
# CaY2RhN PBE relaxed
# Uncorrected formation energy   -753 meV/atom
# DFT total energy   -0.253 hartree per atom
data_CaY2RhN
_cell_length_a 4.7221
_cell_length_b 4.7221
_cell_length_c 4.7314
_cell_angle_alpha 90.00
_cell_angle_beta 90.00
_cell_angle_gamma 90.00
_space_group_name_H-M_alt 'P 4/m m m'
_space_group_IT_number 123
_space_group_name_Hall '-P 4 2'
loop_
_atom_site_label
_atom_site_type_symbol
_atom_site_fract_x
_atom_site_fract_y
_atom_site_fract_z
Ca1 Ca 0.0000 0.0000 0.0000
Y1 Y 0.0000 0.5000 0.5000
Rh1 Rh 0.5000 0.5000 0.0000
N1 N 0.0000 0.0000 0.5000

---

(2)
# Ca2ZnRhN PBE relaxed
# Uncorrected formation energy   -519 meV/atom
# DFT total energy   -0.173 hartree per atom
data_Ca2ZnRhN
_cell_length_a 5.0024
_cell_length_b 5.0024
_cell_length_c 3.8519
_cell_angle_alpha 90.00
_cell_angle_beta 90.00
_cell_angle_gamma 90.00
_space_group_name_H-M_alt 'P 4/m m m'
_space_group_IT_number 123
_space_group_name_Hall '-P 4 2'
loop_
_atom_site_label
_atom_site_type_symbol
_atom_site_fract_x
_atom_site_fract_y
_atom_site_fract_z
Ca1 Ca 0.0000 0.5000 0.0000
Zn1 Zn 0.0000 0.0000 0.5000
Rh1 Rh 0.5000 0.5000 0.5000
N1 N 0.5000 0.5000 0.0000

---

(3)
# Ca3RuN3 PBE relaxed
# Excess energy over the best structure of this formula in the dataset   52 meV/atom
# Uncorrected formation energy   -653 meV/atom
# DFT total energy   -0.235 hartree per atom
data_Ca3RuN3
_cell_length_a 7.3713
_cell_length_b 7.3713
_cell_length_c 4.9731
_cell_angle_alpha 90.00
_cell_angle_beta 90.00
_cell_angle_gamma 120.00
_space_group_name_H-M_alt 'P 63/m'
_space_group_IT_number 176
_space_group_name_Hall '-P 6c'
loop_
_atom_site_label
_atom_site_type_symbol
_atom_site_fract_x
_atom_site_fract_y
_atom_site_fract_z
Ca1 Ca 0.1020 0.3620 0.2500
Ru1 Ru 0.3333 0.6667 0.7500
N1 N 0.1120 0.3848 0.7500

---

(4)
# CaRuN2 PBE relaxed
# Excess energy over the best structure of this formula in the dataset   0 meV/atom
# Uncorrected formation energy   -241 meV/atom
# DFT total energy   -0.265 hartree per atom
data_CaRuN2
_cell_length_a 3.2221
_cell_length_b 3.2221
_cell_length_c 15.4575
_cell_angle_alpha 90.00
_cell_angle_beta 90.00
_cell_angle_gamma 120.00
_space_group_name_H-M_alt 'R -3 m'
_space_group_IT_number 166
_space_group_name_Hall '-R 3 2"'
loop_
_atom_site_label
_atom_site_type_symbol
_atom_site_fract_x
_atom_site_fract_y
_atom_site_fract_z
Ca1 Ca 0.0000 0.0000 0.0000
Ru1 Ru 0.0000 0.0000 0.5000
N1 N 0.0000 0.0000 0.2334

---

(5)
# Ca4RuN4 PBE relaxed
# Uncorrected formation energy   -616 meV/atom
# DFT total energy   -0.229 hartree per atom
data_Ca4RuN4
_cell_length_a 6.0565
_cell_length_b 6.0777
_cell_length_c 8.6358
_cell_angle_alpha 87.51
_cell_angle_beta 70.20
_cell_angle_gamma 69.36
_space_group_name_H-M_alt 'P -1'
_space_group_IT_number 2
_space_group_name_Hall '-P 1'
loop_
_atom_site_label
_atom_site_type_symbol
_atom_site_fract_x
_atom_site_fract_y
_atom_site_fract_z
Ca1 Ca 0.0599 0.2336 0.4314
Ca2 Ca 0.1906 0.2274 0.0191
Ca3 Ca 0.2659 0.7166 0.1541
Ca4 Ca 0.4276 0.2909 0.6211
Ru1 Ru 0.3855 0.7988 0.7565
N1 N 0.1706 0.0032 0.6622
N2 N 0.2686 0.5546 0.8904
N3 N 0.3019 0.4819 0.3832
N4 N 0.4197 0.0215 0.2021

---

(6)
# CaRuN PBE relaxed
# Uncorrected formation energy   -200 meV/atom
# DFT total energy   -0.247 hartree per atom
data_CaRuN
_cell_length_a 7.1737
_cell_length_b 3.2026
_cell_length_c 8.7807
_cell_angle_alpha 90.00
_cell_angle_beta 90.00
_cell_angle_gamma 90.00
_space_group_name_H-M_alt 'P n m a'
_space_group_IT_number 62
_space_group_name_Hall '-P 2ac 2n'
loop_
_atom_site_label
_atom_site_type_symbol
_atom_site_fract_x
_atom_site_fract_y
_atom_site_fract_z
Ca1 Ca 0.0102 0.2500 0.1868
Ru1 Ru 0.1701 0.2500 0.4980
N1 N 0.2041 0.2500 0.9467

---

(7)
# CaRuN2 PBE relaxed
# Excess energy over the best structure of this formula in the dataset   731 meV/atom
# Uncorrected formation energy   490 meV/atom
# DFT total energy   -0.239 hartree per atom
data_CaRuN2
_cell_length_a 3.3953
_cell_length_b 3.3953
_cell_length_c 17.4687
_cell_angle_alpha 90.00
_cell_angle_beta 90.00
_cell_angle_gamma 120.00
_space_group_name_H-M_alt 'R -3 m'
_space_group_IT_number 166
_space_group_name_Hall '-R 3 2"'
loop_
_atom_site_label
_atom_site_type_symbol
_atom_site_fract_x
_atom_site_fract_y
_atom_site_fract_z
Ca1 Ca 0.0000 0.0000 0.0000
Ru1 Ru 0.0000 0.0000 0.5000
N1 N 0.0000 0.0000 0.1258

---

(8)
# CaRu2N2 PBE relaxed
# Excess energy over the best structure of this formula in the dataset   118 meV/atom
# Uncorrected formation energy   379 meV/atom
# DFT total energy   -0.260 hartree per atom
data_CaRu2N2
_cell_length_a 7.3733
_cell_length_b 7.3733
_cell_length_c 3.2735
_cell_angle_alpha 90.00
_cell_angle_beta 90.00
_cell_angle_gamma 90.00
_space_group_name_H-M_alt 'P 4/m b m'
_space_group_IT_number 127
_space_group_name_Hall '-P 4 2ab'
loop_
_atom_site_label
_atom_site_type_symbol
_atom_site_fract_x
_atom_site_fract_y
_atom_site_fract_z
Ca1 Ca 0.0000 0.0000 0.0000
Ru1 Ru 0.1172 0.3828 0.0000
N1 N 0.1973 0.3027 0.5000

---

(9)
# Ca3RuN3 PBE relaxed
# Excess energy over the best structure of this formula in the dataset   0 meV/atom
# Uncorrected formation energy   -704 meV/atom
# DFT total energy   -0.237 hartree per atom
data_Ca3RuN3
_cell_length_a 8.5503
_cell_length_b 10.4287
_cell_length_c 4.9997
_cell_angle_alpha 90.00
_cell_angle_beta 90.00
_cell_angle_gamma 90.00
_space_group_name_H-M_alt 'C m c m'
_space_group_IT_number 63
_space_group_name_Hall '-C 2c 2'
loop_
_atom_site_label
_atom_site_type_symbol
_atom_site_fract_x
_atom_site_fract_y
_atom_site_fract_z
Ca1 Ca 0.0000 0.1064 0.2500
Ca2 Ca 0.2151 0.3839 0.2500
Ru1 Ru 0.0000 0.3071 0.7500
N1 N 0.0000 0.1220 0.7500
N2 N 0.2024 0.3787 0.7500

---

(10)
# CaRuN2 PBE relaxed
# Excess energy over the best structure of this formula in the dataset   637 meV/atom
# Uncorrected formation energy   396 meV/atom
# DFT total energy   -0.242 hartree per atom
data_CaRuN2
_cell_length_a 5.5455
_cell_length_b 5.5455
_cell_length_c 5.5455
_cell_angle_alpha 90.00
_cell_angle_beta 90.00
_cell_angle_gamma 90.00
_space_group_name_H-M_alt 'F m -3 m'
_space_group_IT_number 225
_space_group_name_Hall '-F 4 2 3'
loop_
_atom_site_label
_atom_site_type_symbol
_atom_site_fract_x
_atom_site_fract_y
_atom_site_fract_z
Ca1 Ca 0.0000 0.0000 0.0000
Ru1 Ru 0.0000 0.0000 0.5000
N1 N 0.2500 0.2500 0.2500

---

(11)
# Ca7RuN6 PBE relaxed
# Uncorrected formation energy   -639 meV/atom
# DFT total energy   -0.216 hartree per atom
data_Ca7RuN6
_cell_length_a 11.0349
_cell_length_b 6.2565
_cell_length_c 13.2979
_cell_angle_alpha 90.00
_cell_angle_beta 90.00
_cell_angle_gamma 90.00
_space_group_name_H-M_alt 'P b c n'
_space_group_IT_number 60
_space_group_name_Hall '-P 2n 2ab'
loop_
_atom_site_label
_atom_site_type_symbol
_atom_site_fract_x
_atom_site_fract_y
_atom_site_fract_z
Ca1 Ca 0.0000 0.0640 0.2500
Ca2 Ca 0.0367 0.2284 0.5205
Ca3 Ca 0.2077 0.3975 0.1129
Ca4 Ca 0.2242 0.3655 0.8718
Ru1 Ru 0.0000 0.4257 0.7500
N1 N 0.0377 0.3973 0.3641
N2 N 0.1328 0.2433 0.7041
N3 N 0.1672 0.0943 0.9901

---

(12)
# CaRu2N2 PBE relaxed
# Excess energy over the best structure of this formula in the dataset   0 meV/atom
# Uncorrected formation energy   261 meV/atom
# DFT total energy   -0.264 hartree per atom
data_CaRu2N2
_cell_length_a 3.8916
_cell_length_b 3.8916
_cell_length_c 8.5556
_cell_angle_alpha 90.00
_cell_angle_beta 90.00
_cell_angle_gamma 90.00
_space_group_name_H-M_alt 'I 4/m m m'
_space_group_IT_number 139
_space_group_name_Hall '-I 4 2'
loop_
_atom_site_label
_atom_site_type_symbol
_atom_site_fract_x
_atom_site_fract_y
_atom_site_fract_z
Ca1 Ca 0.0000 0.0000 0.0000
Ru1 Ru 0.0000 0.0000 0.3403
N1 N 0.0000 0.5000 0.2500

---

(13)
# CaRuN PBE relaxed
# Uncorrected formation energy   -215 meV/atom
# DFT total energy   -0.248 hartree per atom
data_CaRuN
_cell_length_a 3.3115
_cell_length_b 3.3115
_cell_length_c 4.8386
_cell_angle_alpha 90.00
_cell_angle_beta 90.00
_cell_angle_gamma 120.00
_space_group_name_H-M_alt 'P 3 m 1'
_space_group_IT_number 156
_space_group_name_Hall 'P 3 -2"'
loop_
_atom_site_label
_atom_site_type_symbol
_atom_site_fract_x
_atom_site_fract_y
_atom_site_fract_z
Ca1 Ca 0.0000 0.0000 0.0000
Ru1 Ru 0.6667 0.3333 0.4676
N1 N 0.3333 0.6667 0.3322

---

(14)
# Ca2RuN3 PBE relaxed
# Uncorrected formation energy   -422 meV/atom
# DFT total energy   -0.250 hartree per atom
data_Ca2RuN3
_cell_length_a 5.5904
_cell_length_b 10.7942
_cell_length_c 11.8535
_cell_angle_alpha 90.00
_cell_angle_beta 90.00
_cell_angle_gamma 90.00
_space_group_name_H-M_alt 'C m c e'
_space_group_IT_number 64
_space_group_name_Hall '-C 2ac 2'
loop_
_atom_site_label
_atom_site_type_symbol
_atom_site_fract_x
_atom_site_fract_y
_atom_site_fract_z
Ca1 Ca 0.0000 0.0462 0.1433
Ca2 Ca 0.0000 0.1370 0.5766
Ru1 Ru 0.0000 0.2462 0.3432
N1 N 0.0000 0.0709 0.3626
N2 N 0.0000 0.1543 0.9730
N3 N 0.2500 0.2012 0.7500

---

(15)
# CaRuS2N PBE relaxed
# Excess energy over the best structure of this formula in the dataset   0 meV/atom
# Uncorrected formation energy   -449 meV/atom
# DFT total energy   -0.221 hartree per atom
data_CaRuS2N
_cell_length_a 4.9141
_cell_length_b 4.9141
_cell_length_c 3.6954
_cell_angle_alpha 90.00
_cell_angle_beta 90.00
_cell_angle_gamma 90.00
_space_group_name_H-M_alt 'P 4/m m m'
_space_group_IT_number 123
_space_group_name_Hall '-P 4 2'
loop_
_atom_site_label
_atom_site_type_symbol
_atom_site_fract_x
_atom_site_fract_y
_atom_site_fract_z
Ca1 Ca 0.0000 0.0000 0.0000
Ru1 Ru 0.5000 0.5000 0.5000
S1 S 0.0000 0.5000 0.5000
N1 N 0.5000 0.5000 0.0000

---

(16)
# CaRuS2N PBE relaxed
# Excess energy over the best structure of this formula in the dataset   1915 meV/atom
# Uncorrected formation energy   1466 meV/atom
# DFT total energy   -0.151 hartree per atom
data_CaRuS2N
_cell_length_a 5.1313
_cell_length_b 5.1313
_cell_length_c 4.1932
_cell_angle_alpha 90.00
_cell_angle_beta 90.00
_cell_angle_gamma 90.00
_space_group_name_H-M_alt 'P 4/m m m'
_space_group_IT_number 123
_space_group_name_Hall '-P 4 2'
loop_
_atom_site_label
_atom_site_type_symbol
_atom_site_fract_x
_atom_site_fract_y
_atom_site_fract_z
Ca1 Ca 0.0000 0.0000 0.0000
Ru1 Ru 0.5000 0.5000 0.5000
S1 S 0.0000 0.5000 0.0000
N1 N 0.0000 0.0000 0.5000

---

(17)
# Ca2SbRuN PBE relaxed
# Excess energy over the best structure of this formula in the dataset   1724 meV/atom
# Uncorrected formation energy   1113 meV/atom
# DFT total energy   -0.148 hartree per atom
data_Ca2SbRuN
_cell_length_a 5.9054
_cell_length_b 5.9054
_cell_length_c 4.8483
_cell_angle_alpha 90.00
_cell_angle_beta 90.00
_cell_angle_gamma 90.00
_space_group_name_H-M_alt 'P 4/m m m'
_space_group_IT_number 123
_space_group_name_Hall '-P 4 2'
loop_
_atom_site_label
_atom_site_type_symbol
_atom_site_fract_x
_atom_site_fract_y
_atom_site_fract_z
Ca1 Ca 0.0000 0.5000 0.0000
Sb1 Sb 0.0000 0.0000 0.0000
Ru1 Ru 0.0000 0.0000 0.5000
N1 N 0.5000 0.5000 0.5000

---

(18)
# CaSb2RuN PBE relaxed
# Uncorrected formation energy   23 meV/atom
# DFT total energy   -0.204 hartree per atom
data_CaSb2RuN
_cell_length_a 5.2282
_cell_length_b 5.2282
_cell_length_c 3.7827
_cell_angle_alpha 90.00
_cell_angle_beta 90.00
_cell_angle_gamma 90.00
_space_group_name_H-M_alt 'P 4/m m m'
_space_group_IT_number 123
_space_group_name_Hall '-P 4 2'
loop_
_atom_site_label
_atom_site_type_symbol
_atom_site_fract_x
_atom_site_fract_y
_atom_site_fract_z
Ca1 Ca 0.0000 0.0000 0.0000
Sb1 Sb 0.0000 0.5000 0.5000
Ru1 Ru 0.5000 0.5000 0.0000
N1 N 0.5000 0.5000 0.5000

---

(19)
# Ca2SbRuN PBE relaxed
# Excess energy over the best structure of this formula in the dataset   0 meV/atom
# Uncorrected formation energy   -611 meV/atom
# DFT total energy   -0.212 hartree per atom
data_Ca2SbRuN
_cell_length_a 5.0714
_cell_length_b 5.0714
_cell_length_c 3.8888
_cell_angle_alpha 90.00
_cell_angle_beta 90.00
_cell_angle_gamma 90.00
_space_group_name_H-M_alt 'P 4/m m m'
_space_group_IT_number 123
_space_group_name_Hall '-P 4 2'
loop_
_atom_site_label
_atom_site_type_symbol
_atom_site_fract_x
_atom_site_fract_y
_atom_site_fract_z
Ca1 Ca 0.0000 0.5000 0.0000
Sb1 Sb 0.0000 0.0000 0.5000
Ru1 Ru 0.5000 0.5000 0.5000
N1 N 0.5000 0.5000 0.0000

---

(20)
# CaRuSeN2 PBE relaxed
# Excess energy over the best structure of this formula in the dataset   0 meV/atom
# Uncorrected formation energy   -26 meV/atom
# DFT total energy   -0.232 hartree per atom
data_CaRuSeN2
_cell_length_a 3.9014
_cell_length_b 3.9014
_cell_length_c 5.3876
_cell_angle_alpha 90.00
_cell_angle_beta 90.00
_cell_angle_gamma 90.00
_space_group_name_H-M_alt 'P 4/m m m'
_space_group_IT_number 123
_space_group_name_Hall '-P 4 2'
loop_
_atom_site_label
_atom_site_type_symbol
_atom_site_fract_x
_atom_site_fract_y
_atom_site_fract_z
Ca1 Ca 0.0000 0.0000 0.0000
Ru1 Ru 0.5000 0.5000 0.5000
Se1 Se 0.5000 0.5000 0.0000
N1 N 0.0000 0.5000 0.5000

---

(21)
# CaRuSe2N PBE relaxed
# Excess energy over the best structure of this formula in the dataset   923 meV/atom
# Uncorrected formation energy   512 meV/atom
# DFT total energy   -0.176 hartree per atom
data_CaRuSe2N
_cell_length_a 4.4515
_cell_length_b 4.4515
_cell_length_c 4.3573
_cell_angle_alpha 90.00
_cell_angle_beta 90.00
_cell_angle_gamma 90.00
_space_group_name_H-M_alt 'P 4/m m m'
_space_group_IT_number 123
_space_group_name_Hall '-P 4 2'
loop_
_atom_site_label
_atom_site_type_symbol
_atom_site_fract_x
_atom_site_fract_y
_atom_site_fract_z
Ca1 Ca 0.0000 0.0000 0.0000
Ru1 Ru 0.5000 0.5000 0.0000
Se1 Se 0.0000 0.5000 0.5000
N1 N 0.0000 0.0000 0.5000

---

(22)
# CaRuSe2N PBE relaxed
# Excess energy over the best structure of this formula in the dataset   0 meV/atom
# Uncorrected formation energy   -411 meV/atom
# DFT total energy   -0.210 hartree per atom
data_CaRuSe2N
_cell_length_a 5.2065
_cell_length_b 5.2065
_cell_length_c 3.6888
_cell_angle_alpha 90.00
_cell_angle_beta 90.00
_cell_angle_gamma 90.00
_space_group_name_H-M_alt 'P 4/m m m'
_space_group_IT_number 123
_space_group_name_Hall '-P 4 2'
loop_
_atom_site_label
_atom_site_type_symbol
_atom_site_fract_x
_atom_site_fract_y
_atom_site_fract_z
Ca1 Ca 0.0000 0.0000 0.0000
Ru1 Ru 0.5000 0.5000 0.5000
Se1 Se 0.0000 0.5000 0.5000
N1 N 0.5000 0.5000 0.0000

---

(23)
# CaRuSe2N PBE relaxed
# Excess energy over the best structure of this formula in the dataset   1799 meV/atom
# Uncorrected formation energy   1388 meV/atom
# DFT total energy   -0.144 hartree per atom
data_CaRuSe2N
_cell_length_a 5.3581
_cell_length_b 5.3581
_cell_length_c 4.2004
_cell_angle_alpha 90.00
_cell_angle_beta 90.00
_cell_angle_gamma 90.00
_space_group_name_H-M_alt 'P 4/m m m'
_space_group_IT_number 123
_space_group_name_Hall '-P 4 2'
loop_
_atom_site_label
_atom_site_type_symbol
_atom_site_fract_x
_atom_site_fract_y
_atom_site_fract_z
Ca1 Ca 0.0000 0.0000 0.0000
Ru1 Ru 0.5000 0.5000 0.5000
Se1 Se 0.0000 0.5000 0.0000
N1 N 0.0000 0.0000 0.5000